Crystalline UCl5 at its relaxed geometry, computed with PBE.

```
data_UCl5
_space_group_name_H-M_alt 'P -1'
_space_group_IT_number 2
_cell_length_a 7.0185
_cell_length_b 7.6133
_cell_length_c 10.3672
_cell_angle_alpha 108.15
_cell_angle_beta 91.06
_cell_angle_gamma 116.40
loop_
_space_group_symop_operation_xyz
'x,y,z'
'-x,-y,-z'
loop_
_atom_site_label
_atom_site_fract_x
_atom_site_fract_y
_atom_site_fract_z
_atom_site_occupancy
U1 0.1020 0.2083 0.2081 1
Cl1 0.0616 0.8134 0.5849 1
Cl2 0.1032 0.6252 0.8510 1
Cl3 0.2269 0.1712 0.9574 1
Cl4 0.2970 0.0223 0.2482 1
Cl5 0.4248 0.5538 0.3213 1
```

Output
Distance to the lowest polymorph of the same formula: 0 meV/atom

---

Crystalline SrAlSN2 at its relaxed geometry, computed with PBE.

```
data_SrAlSN2
_space_group_name_H-M_alt 'P 4/m m m'
_space_group_IT_number 123
_space_group_name_Hall '-P 4 2'
_cell_length_a 4.0209
_cell_length_b 4.0209
_cell_length_c 4.8710
_cell_angle_alpha 90.00
_cell_angle_beta 90.00
_cell_angle_gamma 90.00
loop_
_atom_site_label
_atom_site_fract_x
_atom_site_fract_y
_atom_site_fract_z
_atom_site_occupancy
Sr1 0.0000 0.0000 0.0000 1
Al1 0.5000 0.5000 0.5000 1
S1 0.5000 0.5000 0.0000 1
N1 0.0000 0.5000 0.5000 1
```

Output
Distance to the lowest polymorph of the same formula: 0 meV/atom

---

Crystalline Pr2TaSe6 at its relaxed geometry, computed with PBE.

```
data_Pr2TaSe6
_space_group_name_H-M_alt 'P 1 21/c 1'
_space_group_IT_number 14
_cell_length_a 6.4104
_cell_length_b 7.8091
_cell_length_c 11.2226
_cell_angle_alpha 90.00
_cell_angle_beta 123.33
_cell_angle_gamma 90.00
loop_
_space_group_symop_operation_xyz
'x,y,z'
'-x,-y,-z'
'-x,y+1/2,-z+1/2'
'x,-y+1/2,z+1/2'
loop_
_atom_site_label
_atom_site_fract_x
_atom_site_fract_y
_atom_site_fract_z
_atom_site_occupancy
Pr1 0.2049 0.1160 0.2528 1
Ta1 0.5000 0.0000 0.0000 1
Se1 0.1074 0.1670 0.9476 1
Se2 0.2943 0.6996 0.9487 1
Se3 0.3370 0.0215 0.7337 1
```

---

Calculated ΔE_f (raw) in order - -1.62, -0.21, -1.27 eV per atom